Entry 1:
# PrSc2S, relaxed, DFT GGA-PBE
data_PrSc2S
_chemical_formula_sum 'Pr1 Sc2 S1'
_cell_length_a 9.794
_cell_length_b 9.794
_cell_length_c 9.794
_cell_angle_alpha 20.62
_cell_angle_beta 20.62
_cell_angle_gamma 20.62
_space_group_name_H-M_alt 'P 1'
_space_group_IT_number 1
_space_group_name_Hall 'P 1'
loop_
_atom_site_label
_atom_site_fract_x
_atom_site_fract_y
_atom_site_fract_z
Pr1 0.000 0.000 0.000
Sc1 0.115 0.115 0.115
Sc2 0.885 0.885 0.885
S1 0.500 0.500 0.500
# Raw formation energy (eV per atom): -0.742
# Space group: R-3m, No. 166
# DOS(E_F) (states/eV/f.u.): 5.0
# Calculated total energy (eV/atom): -6.134
# Magnetic moment (μB/cell): 0.0


Entry 2:
# B5C7, relaxed, DFT GGA-PBE
data_B5C7
_chemical_formula_sum 'B5 C7'
_cell_length_a 6.941
_cell_length_b 6.941
_cell_length_c 4.722
_cell_angle_alpha 106.84
_cell_angle_beta 106.84
_cell_angle_gamma 21.96
_space_group_name_H-M_alt 'P 1'
_space_group_IT_number 1
_space_group_name_Hall 'P 1'
loop_
_atom_site_label
_atom_site_fract_x
_atom_site_fract_y
_atom_site_fract_z
B1 0.000 0.000 0.000
B2 0.175 0.175 0.185
B3 0.312 0.312 0.039
B4 0.370 0.370 0.643
B5 0.529 0.529 0.534
C1 0.192 0.192 0.856
C2 0.484 0.484 0.823
C3 0.656 0.656 0.665
C4 0.697 0.697 0.388
C5 0.816 0.816 0.482
C6 0.865 0.865 0.206
C7 0.981 0.981 0.310
# Energy of formation from the pure elements (eV/f.u.): 3.94
# Space group: Cm, No. 8
# DOS(E_F) (states/eV/f.u.): 1.3
# Calculated total energy (eV/atom): -7.834
# Magnetic moment (μB/cell): 0.0


Entry 3:
# Li3TaV2Se6, relaxed, DFT GGA-PBE
data_Li3TaV2Se6
_chemical_formula_sum 'Li3 Ta1 V2 Se6'
_cell_length_a 6.197
_cell_length_b 6.197
_cell_length_c 6.953
_cell_angle_alpha 98.22
_cell_angle_beta 98.22
_cell_angle_gamma 121.46
_space_group_name_H-M_alt 'P 1'
_space_group_IT_number 1
_space_group_name_Hall 'P 1'
loop_
_atom_site_label
_atom_site_fract_x
_atom_site_fract_y
_atom_site_fract_z
Li1 0.000 0.000 0.000
Li2 0.324 0.676 0.000
Li3 0.676 0.324 0.000
Ta1 0.500 0.500 0.500
V1 0.128 0.872 0.500
V2 0.872 0.128 0.500
Se1 0.080 0.429 0.278
Se2 0.256 0.256 0.759
Se3 0.429 0.080 0.278
Se4 0.571 0.920 0.722
Se5 0.744 0.744 0.241
Se6 0.920 0.571 0.722
# Raw formation energy (eV per atom): -0.867
# Space group: C2/m, No. 12
# DOS(E_F) (states/eV/f.u.): 3.0
# Calculated total energy (eV/atom): -5.595
# Magnetic moment (μB/cell): 0.3


Entry 4:
# NiBr3N2, relaxed, DFT GGA-PBE
data_NiBr3N2
_chemical_formula_sum 'Ni2 Br6 N4'
_cell_length_a 5.082
_cell_length_b 7.258
_cell_length_c 8.743
_cell_angle_alpha 112.84
_cell_angle_beta 91.79
_cell_angle_gamma 90.98
_space_group_name_H-M_alt 'P 1'
_space_group_IT_number 1
_space_group_name_Hall 'P 1'
loop_
_atom_site_label
_atom_site_fract_x
_atom_site_fract_y
_atom_site_fract_z
Ni1 0.143 0.343 0.236
Ni2 0.857 0.657 0.764
Br1 0.128 0.037 0.281
Br2 0.309 0.739 0.882
Br3 0.444 0.706 0.311
Br4 0.556 0.294 0.689
Br5 0.691 0.261 0.118
Br6 0.872 0.963 0.719
N1 0.109 0.580 0.229
N2 0.484 0.420 0.310
N3 0.516 0.580 0.690
N4 0.891 0.420 0.771
# Raw formation energy (eV per atom): 0.874
# Space group: P-1, No. 2
# Calculated total energy (eV/atom): -3.701
# Magnetic moment (μB/cell): 2.0


What did the fourth record say?
# NiBr3N2, relaxed, DFT GGA-PBE
data_NiBr3N2
_chemical_formula_sum 'Ni2 Br6 N4'
_cell_length_a 5.082
_cell_length_b 7.258
_cell_length_c 8.743
_cell_angle_alpha 112.84
_cell_angle_beta 91.79
_cell_angle_gamma 90.98
_space_group_name_H-M_alt 'P 1'
_space_group_IT_number 1
_space_group_name_Hall 'P 1'
loop_
_atom_site_label
_atom_site_fract_x
_atom_site_fract_y
_atom_site_fract_z
Ni1 0.143 0.343 0.236
Ni2 0.857 0.657 0.764
Br1 0.128 0.037 0.281
Br2 0.309 0.739 0.882
Br3 0.444 0.706 0.311
Br4 0.556 0.294 0.689
Br5 0.691 0.261 0.118
Br6 0.872 0.963 0.719
N1 0.109 0.580 0.229
N2 0.484 0.420 0.310
N3 0.516 0.580 0.690
N4 0.891 0.420 0.771
# Raw formation energy (eV per atom): 0.874
# Space group: P-1, No. 2
# Calculated total energy (eV/atom): -3.701
# Magnetic moment (μB/cell): 2.0